First-principles (PBE-GGA) data for a relaxed Ho3Tc5N12 crystal, as listed in Alexandria.

Results
Space-group type: Ia-3d, No. 230
Uncorrected formation energy (eV per atom): -0.446

Lattice parameters (Å, degrees): 10.9503 10.9503 10.9503 109.47 109.47 109.47
Fractional coordinates of all 80 atoms:
1 Ho 0.1250 0.2500 0.3750
2 Ho 0.1250 0.3750 0.7500
3 Ho 0.2500 0.3750 0.1250
4 Ho 0.2500 0.8750 0.6250
5 Ho 0.3750 0.1250 0.2500
6 Ho 0.3750 0.7500 0.1250
7 Ho 0.6250 0.2500 0.8750
8 Ho 0.6250 0.8750 0.7500
9 Ho 0.7500 0.1250 0.3750
10 Ho 0.7500 0.6250 0.8750
11 Ho 0.8750 0.6250 0.2500
12 Ho 0.8750 0.7500 0.6250
13 Tc 0.0000 0.0000 0.0000
14 Tc 0.0000 0.0000 0.5000
15 Tc 0.0000 0.5000 0.0000
16 Tc 0.0000 0.5000 0.5000
17 Tc 0.1250 0.7500 0.8750
18 Tc 0.1250 0.8750 0.2500
19 Tc 0.2500 0.1250 0.8750
20 Tc 0.2500 0.6250 0.3750
21 Tc 0.3750 0.2500 0.6250
22 Tc 0.3750 0.6250 0.7500
23 Tc 0.5000 0.0000 0.0000
24 Tc 0.5000 0.0000 0.5000
25 Tc 0.5000 0.5000 0.0000
26 Tc 0.5000 0.5000 0.5000
27 Tc 0.6250 0.3750 0.2500
28 Tc 0.6250 0.7500 0.3750
29 Tc 0.7500 0.3750 0.6250
30 Tc 0.7500 0.8750 0.1250
31 Tc 0.8750 0.1250 0.7500
32 Tc 0.8750 0.2500 0.1250
33 N 0.0193 0.2013 0.1175
34 N 0.0193 0.3179 0.9017
35 N 0.0838 0.7013 0.6821
36 N 0.0838 0.8825 0.4017
37 N 0.0983 0.6175 0.4162
38 N 0.0983 0.9807 0.6821
39 N 0.1175 0.0193 0.2013
40 N 0.1175 0.5983 0.9162
41 N 0.1821 0.2013 0.5838
42 N 0.1821 0.4807 0.5983
43 N 0.2013 0.1175 0.0193
44 N 0.2013 0.5838 0.1821
45 N 0.2987 0.3179 0.9162
46 N 0.2987 0.4807 0.3825
47 N 0.3179 0.9017 0.0193
48 N 0.3179 0.9162 0.2987
49 N 0.3825 0.2987 0.4807
50 N 0.3825 0.5838 0.9017
51 N 0.4017 0.0838 0.8825
52 N 0.4017 0.8179 0.5193
53 N 0.4162 0.0983 0.6175
54 N 0.4162 0.8179 0.7987
55 N 0.4807 0.3825 0.2987
56 N 0.4807 0.5983 0.1821
57 N 0.5193 0.4017 0.8179
58 N 0.5193 0.6175 0.7013
59 N 0.5838 0.1821 0.2013
60 N 0.5838 0.9017 0.3825
61 N 0.5983 0.1821 0.4807
62 N 0.5983 0.9162 0.1175
63 N 0.6175 0.4162 0.0983
64 N 0.6175 0.7013 0.5193
65 N 0.6821 0.0838 0.7013
66 N 0.6821 0.0983 0.9807
67 N 0.7013 0.5193 0.6175
68 N 0.7013 0.6821 0.0838
69 N 0.7987 0.4162 0.8179
70 N 0.7987 0.8825 0.9807
71 N 0.8179 0.5193 0.4017
72 N 0.8179 0.7987 0.4162
73 N 0.8825 0.4017 0.0838
74 N 0.8825 0.9807 0.7987
75 N 0.9017 0.0193 0.3179
76 N 0.9017 0.3825 0.5838
77 N 0.9162 0.1175 0.5983
78 N 0.9162 0.2987 0.3179
79 N 0.9807 0.6821 0.0983
80 N 0.9807 0.7987 0.8825